Record 1
# Ca2Ga3Ag

A geometry-optimized Ca2Ga3Ag structure (GGA-PBE, Alexandria).

Structure (CIF):
```
data_Ca2Ga3Ag
_chemical_formula_sum 'Ca16 Ga24 Ag8'
_symmetry_space_group_name_H-M 'F m m m'
_symmetry_Int_Tables_number 69
_symmetry_space_group_name_Hall '-F 2 2'
_cell_length_a 7.3586
_cell_length_b 9.1436
_cell_length_c 15.8856
_cell_angle_alpha 90.00
_cell_angle_beta 90.00
_cell_angle_gamma 90.00
loop_
_atom_site_label
_atom_site_fract_x
_atom_site_fract_y
_atom_site_fract_z
_atom_site_occupancy
Ca1 0.2457 0.0000 0.0000 1
Ca2 0.2500 0.2500 0.2500 1
Ga1 0.0000 0.0000 0.3355 1
Ga2 0.0000 0.2473 0.4173 1
Ag1 0.0000 0.0000 0.1673 1
```

Summary:
Calculated formation energy: -0.456 eV per atom
M_tot: 0.0000 μB/atom
Offset from the most stable computed form: 20.4 meV/atom
Final energy: -0.11436 Ha/atom



Record 2
# Mg5Ag6Au

A geometry-optimized Mg5Ag6Au structure (GGA-PBE, Alexandria).

Structure (CIF):
```
data_Mg5Ag6Au
_chemical_formula_sum 'Mg10 Ag12 Au2'
_symmetry_space_group_name_H-M 'I m m m'
_symmetry_Int_Tables_number 71
_symmetry_space_group_name_Hall '-I 2 2'
_cell_length_a 4.4300
_cell_length_b 7.4005
_cell_length_c 13.3655
_cell_angle_alpha 90.00
_cell_angle_beta 90.00
_cell_angle_gamma 90.00
loop_
_atom_site_label
_atom_site_fract_x
_atom_site_fract_y
_atom_site_fract_z
_atom_site_occupancy
Mg1 0.0000 0.0000 0.0000 1
Mg2 0.0000 0.0000 0.3478 1
Mg3 0.0000 0.5000 0.3271 1
Ag1 0.0000 0.2399 0.1692 1
Ag2 0.0000 0.2686 0.5000 1
Au1 0.0000 0.5000 0.0000 1
```

Summary:
Calculated formation energy: -0.233 eV per atom
M_tot: 0.0000 μB/atom
Final energy: -0.09539 Ha/atom



Record 3
# BaUNiSe3

A geometry-optimized BaUNiSe3 structure (GGA-PBE, Alexandria).

Structure (CIF):
```
data_BaUNiSe3
_chemical_formula_sum 'Ba4 U4 Ni4 Se12'
_symmetry_space_group_name_H-M 'C m c m'
_symmetry_Int_Tables_number 63
_symmetry_space_group_name_Hall '-C 2c 2'
_cell_length_a 4.1009
_cell_length_b 14.1785
_cell_length_c 10.5498
_cell_angle_alpha 90.00
_cell_angle_beta 90.00
_cell_angle_gamma 90.00
loop_
_atom_site_label
_atom_site_fract_x
_atom_site_fract_y
_atom_site_fract_z
_atom_site_occupancy
Ba1 0.0000 0.2424 0.2500 1
U1 0.0000 0.5000 0.0000 1
Ni1 0.0000 0.0296 0.7500 1
Se1 0.0000 0.1332 0.5663 1
Se2 0.0000 0.4358 0.7500 1
```

Summary:
Raw formation energy: -1.276 eV per atom
M_tot: 0.3335 μB/atom
Final energy: -0.22725 Ha/atom



Record 4
# Er8CoPb2

A geometry-optimized Er8CoPb2 structure (GGA-PBE, Alexandria).

Structure (CIF):
```
data_Er8CoPb2
_chemical_formula_sum 'Er16 Co2 Pb4'
_symmetry_space_group_name_H-M 'C 1 2/m 1'
_symmetry_Int_Tables_number 12
_symmetry_space_group_name_Hall '-C 2y'
_cell_length_a 18.8338
_cell_length_b 4.7081
_cell_length_c 6.9594
_cell_angle_alpha 90.00
_cell_angle_beta 96.99
_cell_angle_gamma 90.00
loop_
_atom_site_label
_atom_site_fract_x
_atom_site_fract_y
_atom_site_fract_z
_atom_site_occupancy
Er1 0.0019 0.0000 0.2756 1
Er2 0.0937 0.5000 0.0096 1
Er3 0.1324 0.5000 0.5295 1
Er4 0.2159 0.0000 0.8317 1
Co1 0.0000 0.5000 0.5000 1
Pb1 0.1823 0.0000 0.2800 1
```

Summary:
Calculated formation energy: -0.218 eV per atom
M_tot: 0.0000 μB/atom
Final energy: -0.17848 Ha/atom



Record 5
# PmNdCuSi

A geometry-optimized PmNdCuSi structure (GGA-PBE, Alexandria).

Structure (CIF):
```
data_PmNdCuSi
_chemical_formula_sum 'Pm2 Nd2 Cu2 Si2'
_symmetry_space_group_name_H-M 'A m m 2'
_symmetry_Int_Tables_number 38
_symmetry_space_group_name_Hall 'A 2 -2'
_cell_length_a 4.1783
_cell_length_b 4.2339
_cell_length_c 10.8831
_cell_angle_alpha 90.00
_cell_angle_beta 90.00
_cell_angle_gamma 90.00
loop_
_atom_site_label
_atom_site_fract_x
_atom_site_fract_y
_atom_site_fract_z
_atom_site_occupancy
Pm1 0.0000 0.0000 0.0000 1
Nd1 0.5000 0.0000 0.7170 1
Cu1 0.5000 0.0000 0.4188 1
Si1 0.0000 0.0000 0.2916 1
```

Summary:
Raw formation energy: -0.459 eV per atom
M_tot: 0.0598 μB/atom
Offset from the most stable computed form: 0.0 meV/atom
Final energy: -0.19178 Ha/atom



Record 6
# EuHoNi2

A geometry-optimized EuHoNi2 structure (GGA-PBE, Alexandria).

Structure (CIF):
```
data_EuHoNi2
_chemical_formula_sum 'Eu1 Ho1 Ni2'
_symmetry_space_group_name_H-M 'P 4/m m m'
_symmetry_Int_Tables_number 123
_symmetry_space_group_name_Hall '-P 4 2'
_cell_length_a 3.4142
_cell_length_b 3.4142
_cell_length_c 6.9267
_cell_angle_alpha 90.00
_cell_angle_beta 90.00
_cell_angle_gamma 90.00
loop_
_atom_site_label
_atom_site_fract_x
_atom_site_fract_y
_atom_site_fract_z
_atom_site_occupancy
Eu1 0.0000 0.0000 0.0000 1
Ho1 0.0000 0.0000 0.5000 1
Ni1 0.5000 0.5000 0.2860 1
```

Summary:
Calculated formation energy: -0.249 eV per atom
M_tot: 1.7786 μB/atom
Offset from the most stable computed form: 0.0 meV/atom
Final energy: -0.25182 Ha/atom



Record 7
# ZnMo2P

A geometry-optimized ZnMo2P structure (GGA-PBE, Alexandria).

Structure (CIF):
```
data_ZnMo2P
_chemical_formula_sum 'Zn2 Mo4 P2'
_symmetry_space_group_name_H-M 'I -4 m 2'
_symmetry_Int_Tables_number 119
_symmetry_space_group_name_Hall 'I -4 -2'
_cell_length_a 3.7573
_cell_length_b 3.7573
_cell_length_c 8.1906
_cell_angle_alpha 90.00
_cell_angle_beta 90.00
_cell_angle_gamma 90.00
loop_
_atom_site_label
_atom_site_fract_x
_atom_site_fract_y
_atom_site_fract_z
_atom_site_occupancy
Zn1 0.0000 0.0000 0.0000 1
Mo1 0.0000 0.0000 0.5000 1
Mo2 0.0000 0.5000 0.7500 1
P1 0.0000 0.5000 0.2500 1
```

Summary:
Calculated formation energy: 0.144 eV per atom
M_tot: 0.0000 μB/atom
Offset from the most stable computed form: 204.4 meV/atom
Final energy: -0.25515 Ha/atom



Record 8
# BC3

A geometry-optimized BC3 structure (GGA-PBE, Alexandria).

Structure (CIF):
```
data_BC3
_chemical_formula_sum 'B6 C18'
_symmetry_space_group_name_H-M 'C 1 m 1'
_symmetry_Int_Tables_number 8
_symmetry_space_group_name_Hall 'C -2y'
_cell_length_a 11.6546
_cell_length_b 2.5232
_cell_length_c 5.2130
_cell_angle_alpha 90.00
_cell_angle_beta 104.59
_cell_angle_gamma 90.00
loop_
_atom_site_label
_atom_site_fract_x
_atom_site_fract_y
_atom_site_fract_z
_atom_site_occupancy
B1 0.0000 0.0000 0.0000 1
B2 0.0753 0.0000 0.3510 1
B3 0.3968 0.0000 0.9981 1
C1 0.0843 0.0000 0.8158 1
C2 0.1620 0.5000 0.3616 1
C3 0.1630 0.5000 0.8568 1
C4 0.2395 0.5000 0.1610 1
C5 0.2435 0.5000 0.6548 1
C6 0.3205 0.0000 0.2072 1
C7 0.3222 0.0000 0.6894 1
C8 0.4041 0.0000 0.4961 1
C9 0.4842 0.5000 0.5321 1
```

Summary:
Calculated formation energy: 0.332 eV per atom
M_tot: 0.0000 μB/atom
Offset from the most stable computed form: 91.4 meV/atom
Final energy: -0.30337 Ha/atom



Record 9
# NbHSe2

A geometry-optimized NbHSe2 structure (GGA-PBE, Alexandria).

Structure (CIF):
```
data_NbHSe2
_chemical_formula_sum 'Nb2 H2 Se4'
_symmetry_space_group_name_H-M 'P 1'
_symmetry_Int_Tables_number 1
_symmetry_space_group_name_Hall 'P 1'
_cell_length_a 3.5443
_cell_length_b 6.3795
_cell_length_c 7.4394
_cell_angle_alpha 80.42
_cell_angle_beta 77.10
_cell_angle_gamma 89.94
loop_
_atom_site_label
_atom_site_fract_x
_atom_site_fract_y
_atom_site_fract_z
_atom_site_occupancy
Nb1 0.0000 0.0000 0.0000 1
Nb2 0.4944 0.3843 0.0150 1
H1 0.3089 0.7282 0.4029 1
H2 0.7360 0.1864 0.5251 1
Se1 0.0851 0.6488 0.8187 1
Se2 0.4098 0.7330 0.1942 1
Se3 0.6143 0.1505 0.7565 1
Se4 0.8785 0.2291 0.2622 1
```

Summary:
M_tot: 0.0000 μB/atom
Offset from the most stable computed form: 285.4 meV/atom
Final energy: -0.20480 Ha/atom



Record 10
# Nd2Ho2Hg

A geometry-optimized Nd2Ho2Hg structure (GGA-PBE, Alexandria).

Structure (CIF):
```
data_Nd2Ho2Hg
_chemical_formula_sum 'Nd4 Ho4 Hg2'
_symmetry_space_group_name_H-M 'I 4/m m m'
_symmetry_Int_Tables_number 139
_symmetry_space_group_name_Hall '-I 4 2'
_cell_length_a 3.6280
_cell_length_b 3.6280
_cell_length_c 23.2003
_cell_angle_alpha 90.00
_cell_angle_beta 90.00
_cell_angle_gamma 90.00
loop_
_atom_site_label
_atom_site_fract_x
_atom_site_fract_y
_atom_site_fract_z
_atom_site_occupancy
Nd1 0.0000 0.0000 0.1930 1
Ho1 0.0000 0.0000 0.4163 1
Hg1 0.0000 0.0000 0.0000 1
```

Summary:
Calculated formation energy: -0.182 eV per atom
M_tot: 0.0525 μB/atom
Offset from the most stable computed form: 0.0 meV/atom
Final energy: -0.14627 Ha/atom



Q: Look up the final energy of the seventh one.
A: -0.25515 Ha/atom



Repeat the tenth record exactly.
# Nd2Ho2Hg

A geometry-optimized Nd2Ho2Hg structure (GGA-PBE, Alexandria).

Structure (CIF):
```
data_Nd2Ho2Hg
_chemical_formula_sum 'Nd4 Ho4 Hg2'
_symmetry_space_group_name_H-M 'I 4/m m m'
_symmetry_Int_Tables_number 139
_symmetry_space_group_name_Hall '-I 4 2'
_cell_length_a 3.6280
_cell_length_b 3.6280
_cell_length_c 23.2003
_cell_angle_alpha 90.00
_cell_angle_beta 90.00
_cell_angle_gamma 90.00
loop_
_atom_site_label
_atom_site_fract_x
_atom_site_fract_y
_atom_site_fract_z
_atom_site_occupancy
Nd1 0.0000 0.0000 0.1930 1
Ho1 0.0000 0.0000 0.4163 1
Hg1 0.0000 0.0000 0.0000 1
```

Summary:
Calculated formation energy: -0.182 eV per atom
M_tot: 0.0525 μB/atom
Offset from the most stable computed form: 0.0 meV/atom
Final energy: -0.14627 Ha/atom



Q: The highest final energy belongs to which entry?
A: Mg5Ag6Au



Q: Among the records above, which one has the highest M_tot?
A: EuHoNi2